# 1
10
Lattice="5.595 -3.238 0.000 5.595 3.238 0.000 -3.711 0.000 5.818" Properties=species:S:1:pos:R:3 comment="LiLa2BeAu6 | Alexandria | PBE-GGA | optimized geometry" spacegroup="C2/m (12)" ef_mev_per_atom=-539 pbc="T T T"
Li 0.000 0.000 0.000
La 0.020 0.000 4.869
La 7.459 0.000 0.949
Be 3.739 0.000 2.909
Au 2.722 1.763 4.002
Au 1.714 0.000 1.799
Au 4.756 1.763 1.817
Au 2.722 -1.763 4.002
Au 5.765 0.000 4.019
Au 4.756 -1.763 1.817

---

# 2
4
Lattice="4.195 0.000 0.000 0.000 4.195 0.000 0.000 0.000 4.233" Properties=species:S:1:pos:R:3 comment="YOsAu2 | Alexandria | PBE-GGA | optimized geometry" relative_energy_mev_per_atom=0 spacegroup="P4/mmm (123)" ef_mev_per_atom=-137 pbc="T T T"
Y 0.000 0.000 0.000
Os 2.097 2.097 0.000
Au 0.000 2.097 2.116
Au 2.097 0.000 2.116

---

# 3
12
Lattice="8.072 -1.952 0.000 8.072 1.952 0.000 -6.370 0.000 9.568" Properties=species:S:1:pos:R:3 comment="PmDy3Ni2 | Alexandria | PBE-GGA | optimized geometry" spacegroup="C2/m (12)" ef_mev_per_atom=-270 pbc="T T T"
Pm 0.885 0.000 2.342
Pm 8.890 0.000 7.226
Dy -2.265 0.000 7.153
Dy 6.331 0.000 0.584
Dy 3.206 0.000 5.323
Dy 6.569 0.000 4.245
Dy 3.443 0.000 8.984
Dy 12.040 0.000 2.416
Ni 0.235 0.000 5.259
Ni 3.435 0.000 0.461
Ni 6.340 0.000 9.108
Ni 9.540 0.000 4.309

---

# 4
5
Lattice="5.912 0.000 0.000 0.000 5.912 0.000 0.000 0.000 5.859" Properties=species:S:1:pos:R:3 comment="KSb2IrI | Alexandria | PBE-GGA | optimized geometry" relative_energy_mev_per_atom=1954 spacegroup="P4/mmm (123)" formation_energy_uncorrected_ev_per_atom=1.944 pbc="T T T"
K 0.000 0.000 0.000
Sb 0.000 2.956 0.000
Sb 2.956 0.000 0.000
Ir 2.956 2.956 2.930
I 0.000 0.000 2.930

---

# 5
5
Lattice="4.956 0.000 0.000 0.000 4.956 0.000 0.000 0.000 5.302" Properties=species:S:1:pos:R:3 comment="KIn2NiAg | Alexandria | PBE-GGA | optimized geometry" spacegroup="P4/mmm (123)" ef_mev_per_atom=-14 pbc="T T T"
K 0.000 0.000 0.000
In 0.000 2.478 2.651
In 2.478 0.000 2.651
Ni 2.478 2.478 2.651
Ag 2.478 2.478 0.000

---

# 6
6
Lattice="4.141 0.000 0.000 2.065 5.338 0.000 2.063 0.916 5.427" Properties=species:S:1:pos:R:3 comment="HoVRe | Alexandria | PBE-GGA | optimized geometry" spacegroup="P-1 (2)" ef_mev_per_atom=42 pbc="T T T"
Ho 1.032 1.136 1.067
Ho 7.236 5.118 4.360
V 3.100 2.156 3.135
V 5.168 4.099 2.292
Re 3.099 3.463 1.096
Re 5.170 2.791 4.331

---

# 7
10
Lattice="2.331 -12.306 0.000 2.331 12.306 0.000 0.000 0.000 4.639" Properties=species:S:1:pos:R:3 comment="LaAg2Bi2 | Alexandria | PBE-GGA | optimized geometry" relative_energy_mev_per_atom=0 spacegroup="Cmcm (63)" ef_mev_per_atom=-445 pbc="T T T"
La 2.331 8.780 3.479
La 2.331 -8.780 1.160
Ag 2.331 11.443 1.160
Ag 2.331 0.854 1.160
Ag 2.331 -0.854 3.479
Ag 2.331 -11.443 3.479
Bi 2.331 6.155 1.160
Bi 2.331 2.775 3.479
Bi 2.331 -2.775 1.160
Bi 2.331 -6.155 3.479

---

# 8
5
Lattice="4.997 0.000 0.000 0.000 4.997 0.000 0.000 0.000 5.308" Properties=species:S:1:pos:R:3 comment="GaSiTePd2 | Alexandria | PBE-GGA | optimized geometry" spacegroup="P4/mmm (123)" formation_energy_uncorrected_ev_per_atom=0.610 pbc="T T T"
Ga 0.000 0.000 0.000
Si 2.498 2.498 0.000
Te 2.498 2.498 2.654
Pd 0.000 2.498 2.654
Pd 2.498 0.000 2.654

---

# 9
4
Lattice="0.000 3.350 3.350 3.350 0.000 3.350 3.350 3.350 0.000" Properties=species:S:1:pos:R:3 comment="TlAs2C | Alexandria | PBE-GGA | optimized geometry" relative_energy_mev_per_atom=961 spacegroup="Fm-3m (225)" ef_mev_per_atom=1690 pbc="T T T"
Tl 0.000 0.000 0.000
As 1.675 1.675 1.675
As 5.025 5.025 5.025
C 3.350 3.350 3.350

---

# 10
4
Lattice="2.908 0.000 0.000 0.000 2.908 0.000 0.000 0.000 9.106" Properties=species:S:1:pos:R:3 comment="TcAg2Sb | Alexandria | PBE-GGA | optimized geometry" spacegroup="P4/mmm (123)" formation_energy_uncorrected_ev_per_atom=0.544 pbc="T T T"
Tc 0.000 0.000 0.000
Ag 1.454 1.454 2.028
Ag 1.454 1.454 7.078
Sb 0.000 0.000 4.553

---

# 11
6
Lattice="0.000 3.716 3.716 3.716 0.000 3.716 3.716 3.716 0.000" Properties=species:S:1:pos:R:3 comment="LuMgOs4 | Alexandria | PBE-GGA | optimized geometry" spacegroup="F-43m (216)" ef_mev_per_atom=-61 pbc="T T T"
Lu 0.000 0.000 0.000
Mg 1.858 1.858 1.858
Os 4.643 2.789 2.789
Os 2.789 4.643 2.789
Os 2.789 2.789 4.643
Os 4.643 4.643 4.643

---

# 12
8
Lattice="-3.784 3.784 3.329 3.784 -3.784 3.329 3.784 3.784 -3.329" Properties=species:S:1:pos:R:3 comment="RbHfRh2 | Alexandria | PBE-GGA | optimized geometry" relative_energy_mev_per_atom=11 spacegroup="I-42d (122)" ef_mev_per_atom=445 pbc="T T T"
Rb 0.000 0.000 0.000
Rb 0.000 3.784 1.664
Hf 3.784 0.000 1.664
Hf 0.000 0.000 3.329
Rh 1.892 -1.468 2.497
Rh 2.316 1.892 0.832
Rh 1.892 5.253 -0.832
Rh 1.468 1.892 4.161